Record 1
A relaxed Nd2TmCd12Ag3 crystal. Source: the Alexandria database, functional GGA-PBE.

Computed properties:
V in A^3/atom: 27.5
Energy in eV per cell: -94.79
Crystal system: trigonal
N(E_F) in states/eV/f.u.: 7.955

```
data_Nd2TmCd12Ag3
_cell_length_a 8.8935
_cell_length_b 8.8935
_cell_length_c 21.7009
_cell_angle_alpha 90.00
_cell_angle_beta 90.00
_cell_angle_gamma 120.00
_symmetry_space_group_name_H-M 'R -3 m'
_symmetry_Int_Tables_number 166
_symmetry_space_group_name_Hall '-R 3 2"'
loop_
_atom_site_label
_atom_site_fract_x
_atom_site_fract_y
_atom_site_fract_z
Nd1 0.0000 0.0000 0.0828
Tm1 0.0000 0.0000 0.5000
Cd1 0.0626 0.5313 0.2707
Cd2 0.0903 0.5451 0.8692
Ag1 0.0000 0.5000 0.0000
```

***

Record 2
A relaxed TmPuCo10 crystal. Source: the Alexandria database, functional GGA-PBE.

Computed properties:
V in A^3/atom: 13.6
Energy in eV per cell: -91.11
Crystal system: orthorhombic
N(E_F) in states/eV/f.u.: 19.478

```
data_TmPuCo10
_cell_length_a 3.9562
_cell_length_b 4.8921
_cell_length_c 8.4203
_cell_angle_alpha 90.00
_cell_angle_beta 90.00
_cell_angle_gamma 90.00
_symmetry_space_group_name_H-M 'P m m m'
_symmetry_Int_Tables_number 47
loop_
_symmetry_equiv_pos_as_xyz
'x,y,z'
'-x,-y,-z'
'-x,-y,z'
'x,y,-z'
'x,-y,-z'
'-x,y,z'
'-x,y,-z'
'x,-y,z'
loop_
_atom_site_label
_atom_site_fract_x
_atom_site_fract_y
_atom_site_fract_z
Tm1 0.0000 0.0000 0.0000
Pu1 0.0000 0.5000 0.5000
Co1 0.0000 0.0000 0.3404
Co2 0.0000 0.5000 0.1740
Co3 0.5000 0.0000 0.5000
Co4 0.5000 0.2480 0.2490
Co5 0.5000 0.5000 0.0000
```

***

Record 3
A relaxed ErTm2Cd5 crystal. Source: the Alexandria database, functional GGA-PBE.

Computed properties:
V in A^3/atom: 24.1
Energy in eV per cell: -40.69
Crystal system: tetragonal
N(E_F) in states/eV/f.u.: 3.082

```
data_ErTm2Cd5
_cell_length_a 5.0882
_cell_length_b 5.0882
_cell_length_c 14.8675
_cell_angle_alpha 90.00
_cell_angle_beta 90.00
_cell_angle_gamma 90.00
_symmetry_space_group_name_H-M 'I 4/m m m'
_symmetry_Int_Tables_number 139
_symmetry_space_group_name_Hall '-I 4 2'
loop_
_atom_site_label
_atom_site_fract_x
_atom_site_fract_y
_atom_site_fract_z
Er1 0.0000 0.0000 0.0000
Tm1 0.0000 0.0000 0.2589
Cd1 0.0000 0.0000 0.5000
Cd2 0.0000 0.5000 0.1210
```

***

Record 4
A relaxed CrAu2Cl crystal. Source: the Alexandria database, functional GGA-PBE.

Computed properties:
V in A^3/atom: 19.3
Crystal system: trigonal
ΔE to the lowest computed polymorph in meV per atom: 174
N(E_F) in states/eV/f.u.: 0.065
Uncorrected formation energy in kJ/mol of atoms: 10.9

```
data_CrAu2Cl
_cell_length_a 3.4066
_cell_length_b 3.4066
_cell_length_c 23.0482
_cell_angle_alpha 90.00
_cell_angle_beta 90.00
_cell_angle_gamma 120.00
_symmetry_space_group_name_H-M 'R -3 m'
_symmetry_Int_Tables_number 166
_symmetry_space_group_name_Hall '-R 3 2"'
loop_
_atom_site_label
_atom_site_fract_x
_atom_site_fract_y
_atom_site_fract_z
Cr1 0.0000 0.0000 0.0000
Au1 0.0000 0.0000 0.2581
Cl1 0.0000 0.0000 0.5000
```

***

Record 5
A relaxed Hf3ZrC crystal. Source: the Alexandria database, functional GGA-PBE.

Computed properties:
V in A^3/atom: 26.1
Crystal system: cubic
ΔE to the lowest computed polymorph in meV per atom: 2772
N(E_F) in states/eV/f.u.: 4.454

```
data_Hf3ZrC
_cell_length_a 5.0716
_cell_length_b 5.0716
_cell_length_c 5.0716
_cell_angle_alpha 90.00
_cell_angle_beta 90.00
_cell_angle_gamma 90.00
_symmetry_space_group_name_H-M 'P m -3 m'
_symmetry_Int_Tables_number 221
_symmetry_space_group_name_Hall '-P 4 2 3'
loop_
_atom_site_label
_atom_site_fract_x
_atom_site_fract_y
_atom_site_fract_z
Hf1 0.0000 0.0000 0.5000
Zr1 0.0000 0.0000 0.0000
C1 0.5000 0.5000 0.5000
```

***

Record 6
A relaxed Rb2MnGaSe crystal. Source: the Alexandria database, functional GGA-PBE.

Computed properties:
V in A^3/atom: 42.0
Crystal system: tetragonal
N(E_F) in states/eV/f.u.: 3.000
Uncorrected formation energy in kJ/mol of atoms: 18.3

```
data_Rb2MnGaSe
_cell_length_a 6.7791
_cell_length_b 6.7791
_cell_length_c 4.5694
_cell_angle_alpha 90.00
_cell_angle_beta 90.00
_cell_angle_gamma 90.00
_symmetry_space_group_name_H-M 'P 4/m m m'
_symmetry_Int_Tables_number 123
_symmetry_space_group_name_Hall '-P 4 2'
loop_
_atom_site_label
_atom_site_fract_x
_atom_site_fract_y
_atom_site_fract_z
Rb1 0.0000 0.5000 0.0000
Mn1 0.0000 0.0000 0.0000
Ga1 0.5000 0.5000 0.5000
Se1 0.0000 0.0000 0.5000
```